Entry 1:
# PBEsol ZrAgPdF2, optimized geometry
# Density of states at the Fermi level   0.73 states/eV per atom
# Total energy   -4.78 eV/atom
# E_form (uncorrected)   -0.3353 eV per atom
# ρ   6.5 g/cm3
# Magnetic moment   0.003 μB per cell
data_ZrAgPdF2
_chemical_formula_sum 'Zr1 Ag1 Pd1 F2'
_symmetry_space_group_name_H-M 'P 4/m m m'
_symmetry_Int_Tables_number 123
_symmetry_space_group_name_Hall '-P 4 2'
_cell_length_a 4.128
_cell_length_b 4.128
_cell_length_c 5.182
_cell_angle_alpha 90.00
_cell_angle_beta 90.00
_cell_angle_gamma 90.00
loop_
_atom_site_label
_atom_site_fract_x
_atom_site_fract_y
_atom_site_fract_z
Zr1 0.000 0.000 0.000
Ag1 0.500 0.500 0.000
Pd1 0.000 0.000 0.500
F1 0.000 0.500 0.500

=====

Entry 2:
# PBEsol ZrH3NF4, optimized geometry
# Density of states at the Fermi level   0.00 states/eV per atom
# Total energy   -6.23 eV/atom
# ρ   3.5 g/cm3
# Magnetic moment   0.000 μB per cell
data_ZrH3NF4
_chemical_formula_sum 'Zr4 H12 N4 F16'
_symmetry_space_group_name_H-M 'P -1'
_symmetry_Int_Tables_number 2
_symmetry_space_group_name_Hall '-P 1'
_cell_length_a 6.059
_cell_length_b 8.052
_cell_length_c 8.427
_cell_angle_alpha 106.51
_cell_angle_beta 104.22
_cell_angle_gamma 107.38
loop_
_atom_site_label
_atom_site_fract_x
_atom_site_fract_y
_atom_site_fract_z
Zr1 0.223 0.292 0.369
Zr2 0.242 0.786 0.338
H1 0.187 0.291 0.956
H2 0.195 0.986 0.931
H3 0.211 0.495 0.940
H4 0.233 0.788 0.900
H5 0.283 0.344 0.801
H6 0.304 0.907 0.774
N1 0.162 0.355 0.866
N2 0.179 0.867 0.833
F1 0.009 0.718 0.481
F2 0.110 0.997 0.330
F3 0.137 0.489 0.273
F4 0.258 0.191 0.136
F5 0.287 0.731 0.106
F6 0.395 0.567 0.588
F7 0.430 0.266 0.600
F8 0.446 0.957 0.614

=====

Entry 3:
# PBEsol KTl2Au, optimized geometry
# Energy relative to the elements   -0.1088 eV/atom
# Density of states at the Fermi level   0.54 states/eV per atom
# Total energy   -2.69 eV/atom
# ρ   9.7 g/cm3
# Magnetic moment   0.000 μB per cell
data_KTl2Au
_chemical_formula_sum 'K2 Tl4 Au2'
_symmetry_space_group_name_H-M 'I m m m'
_symmetry_Int_Tables_number 71
_symmetry_space_group_name_Hall '-I 2 2'
_cell_length_a 3.570
_cell_length_b 5.644
_cell_length_c 10.949
_cell_angle_alpha 90.00
_cell_angle_beta 90.00
_cell_angle_gamma 90.00
loop_
_atom_site_label
_atom_site_fract_x
_atom_site_fract_y
_atom_site_fract_z
K1 0.000 0.000 0.000
Tl1 0.000 0.500 0.209
Au1 0.000 0.000 0.500

=====

Entry 4:
# PBEsol NaPtI2Cl, optimized geometry
# Density of states at the Fermi level   1.83 states/eV per atom
# Total energy   -1.89 eV/atom
# E_form (uncorrected)   0.8877 eV per atom
# ρ   5.4 g/cm3
# Magnetic moment   2.125 μB per cell
data_NaPtI2Cl
_chemical_formula_sum 'Na1 Pt1 I2 Cl1'
_symmetry_space_group_name_H-M 'P 4/m m m'
_symmetry_Int_Tables_number 123
_symmetry_space_group_name_Hall '-P 4 2'
_cell_length_a 5.535
_cell_length_b 5.535
_cell_length_c 5.056
_cell_angle_alpha 90.00
_cell_angle_beta 90.00
_cell_angle_gamma 90.00
loop_
_atom_site_label
_atom_site_fract_x
_atom_site_fract_y
_atom_site_fract_z
Na1 0.000 0.000 0.000
Pt1 0.000 0.000 0.500
I1 0.000 0.500 0.000
Cl1 0.500 0.500 0.500

=====

Entry 5:
# PBEsol LiPbSN2, optimized geometry
# Density of states at the Fermi level   0.13 states/eV per atom
# Total energy   -4.26 eV/atom
# E_form (uncorrected)   1.2219 eV per atom
# ρ   4.5 g/cm3
# Magnetic moment   3.162 μB per cell
data_LiPbSN2
_chemical_formula_sum 'Li1 Pb1 S1 N2'
_symmetry_space_group_name_H-M 'P 4/m m m'
_symmetry_Int_Tables_number 123
_symmetry_space_group_name_Hall '-P 4 2'
_cell_length_a 4.367
_cell_length_b 4.367
_cell_length_c 5.318
_cell_angle_alpha 90.00
_cell_angle_beta 90.00
_cell_angle_gamma 90.00
loop_
_atom_site_label
_atom_site_fract_x
_atom_site_fract_y
_atom_site_fract_z
Li1 0.000 0.000 0.000
Pb1 0.500 0.500 0.500
S1 0.500 0.500 0.000
N1 0.000 0.500 0.500

=====

Entry 6:
# PBEsol K3MnSb, optimized geometry
# Density of states at the Fermi level   1.28 states/eV per atom
# Total energy   -2.73 eV/atom
# E_form (uncorrected)   0.8122 eV per atom
# ρ   2.2 g/cm3
# Magnetic moment   5.055 μB per cell
data_K3MnSb
_chemical_formula_sum 'K3 Mn1 Sb1'
_symmetry_space_group_name_H-M 'P m -3 m'
_symmetry_Int_Tables_number 221
_symmetry_space_group_name_Hall '-P 4 2 3'
_cell_length_a 6.079
_cell_length_b 6.079
_cell_length_c 6.079
_cell_angle_alpha 90.00
_cell_angle_beta 90.00
_cell_angle_gamma 90.00
loop_
_atom_site_label
_atom_site_fract_x
_atom_site_fract_y
_atom_site_fract_z
K1 0.000 0.000 0.500
Mn1 0.000 0.000 0.000
Sb1 0.500 0.500 0.500

=====

> The lowest density of states at the Fermi level belongs to which entry?

ZrH3NF4